(1)
AcPrGdSn (PBE, relaxed); DFT formation energy = -0.214 eV/atom; symmetry = F-43m (216)
1.0
-3.5363 -4.3334 -0.8653
0.6062 -4.7827 2.9648
-3.8063 -1.3795 3.9549
Gd Ac Sn Pr
1 1 1 1
Direct
0.7500 0.7500 0.7500
0.5000 0.5000 0.5000
0.0000 0.0000 0.0000
0.2500 0.2500 0.2500

(2)
SrAcPrGd (PBE, relaxed); DFT formation energy = 0.173 eV/atom; symmetry = F-43m (216)
1.0
6.1291 0.0000 0.0000
3.0646 5.3080 0.0000
3.0646 1.7693 5.0044
Sr Ac Gd Pr
1 1 1 1
Direct
0.2500 0.2500 0.2500
0.0000 0.0000 0.0000
0.7500 0.7500 0.7500
0.5000 0.5000 0.5000